Entry 1:
! GGA-PBE ZrGaP, relaxed; values from VASP
&SYSTEM
  ibrav = 0, nat = 6, ntyp = 3
/
ATOMIC_SPECIES
Zr 91.22 Zr.upf
Ga 69.72 Ga.upf
P 30.97 P.upf
CELL_PARAMETERS angstrom
0.000 4.527 4.369
2.612 0.000 4.369
2.612 4.527 0.000
ATOMIC_POSITIONS crystal
Zr 0.000 0.000 0.000
Zr 0.250 0.250 0.250
Ga 0.351 0.351 0.649
Ga 0.601 0.601 0.899
P 0.670 0.670 0.330
P 0.920 0.920 0.580
! - Space group: Fdd2
! - E: -6.33 eV per atom

Entry 2:
! GGA-PBE Li2ScTeO6, relaxed; values from VASP
&SYSTEM
  ibrav = 0, nat = 20, ntyp = 4
/
ATOMIC_SPECIES
Li 6.94 Li.upf
Sc 44.96 Sc.upf
Te 127.60 Te.upf
O 16.00 O.upf
CELL_PARAMETERS angstrom
5.260 -4.696 0.000
5.260 4.696 0.000
-2.147 0.000 5.252
ATOMIC_POSITIONS crystal
Li 0.114 0.263 0.142
Li 0.263 0.114 0.642
Li 0.737 0.886 0.358
Li 0.886 0.737 0.858
Sc 0.403 0.597 0.750
Sc 0.597 0.403 0.250
Te 0.254 0.746 0.250
Te 0.746 0.254 0.750
O 0.022 0.212 0.750
O 0.160 0.636 0.886
O 0.212 0.022 0.250
O 0.302 0.482 0.326
O 0.364 0.840 0.614
O 0.482 0.302 0.826
O 0.518 0.698 0.174
O 0.636 0.160 0.386
O 0.698 0.518 0.674
O 0.788 0.978 0.750
O 0.840 0.364 0.114
O 0.978 0.788 0.250
! - Space group: C2/c
! - Formation energy from raw total energies: -1.82 eV/atom

Entry 3:
! GGA-PBE LiSi2Pt, relaxed; values from VASP
&SYSTEM
  ibrav = 0, nat = 16, ntyp = 3
/
ATOMIC_SPECIES
Li 6.94 Li.upf
Si 28.09 Si.upf
Pt 195.08 Pt.upf
CELL_PARAMETERS angstrom
6.058 0.000 0.000
0.000 6.058 0.000
0.000 0.000 6.058
ATOMIC_POSITIONS crystal
Li 0.000 0.000 0.000
Li 0.000 0.500 0.500
Li 0.500 0.000 0.500
Li 0.500 0.500 0.000
Si 0.000 0.000 0.500
Si 0.000 0.500 0.000
Si 0.250 0.250 0.250
Si 0.250 0.750 0.750
Si 0.500 0.000 0.000
Si 0.500 0.500 0.500
Si 0.750 0.250 0.750
Si 0.750 0.750 0.250
Pt 0.250 0.250 0.750
Pt 0.250 0.750 0.250
Pt 0.750 0.250 0.250
Pt 0.750 0.750 0.750
! - Space group: F-43m
! - Formation energy from raw total energies: -0.19 eV/atom

Entry 4:
! GGA-PBE Tl4I2F, relaxed; values from VASP
&SYSTEM
  ibrav = 0, nat = 14, ntyp = 3
/
ATOMIC_SPECIES
Tl 204.38 Tl.upf
I 126.90 I.upf
F 19.00 F.upf
CELL_PARAMETERS angstrom
5.457 0.000 0.000
0.000 5.457 0.000
0.000 0.000 17.640
ATOMIC_POSITIONS crystal
Tl 0.000 0.000 0.158
Tl 0.000 0.000 0.842
Tl 0.000 0.500 0.000
Tl 0.000 0.500 0.500
Tl 0.500 0.000 0.000
Tl 0.500 0.000 0.500
Tl 0.500 0.500 0.342
Tl 0.500 0.500 0.658
I 0.000 0.000 0.360
I 0.000 0.000 0.640
I 0.500 0.500 0.140
I 0.500 0.500 0.860
F 0.000 0.000 0.000
F 0.500 0.500 0.500
! - Space group: I4/mmm
! - Formation energy from raw total energies: -0.74 eV/atom

Entry 5:
! GGA-PBE Zn2InP2, relaxed; values from VASP
&SYSTEM
  ibrav = 0, nat = 10, ntyp = 3
/
ATOMIC_SPECIES
Zn 65.41 Zn.upf
In 114.82 In.upf
P 30.97 P.upf
CELL_PARAMETERS angstrom
4.112 0.000 0.000
0.000 4.112 0.000
0.000 0.000 11.139
ATOMIC_POSITIONS crystal
Zn 0.000 0.000 0.114
Zn 0.000 0.000 0.886
Zn 0.500 0.500 0.386
Zn 0.500 0.500 0.614
In 0.000 0.000 0.500
In 0.500 0.500 0.000
P 0.000 0.500 0.250
P 0.000 0.500 0.750
P 0.500 0.000 0.250
P 0.500 0.000 0.750
! - Space group: I4/mmm
! - E: -3.01 eV per atom

Entry 6:
! GGA-PBE TeW2Cl, relaxed; values from VASP
&SYSTEM
  ibrav = 0, nat = 8, ntyp = 3
/
ATOMIC_SPECIES
Te 127.60 Te.upf
W 183.84 W.upf
Cl 35.45 Cl.upf
CELL_PARAMETERS angstrom
5.597 0.000 0.000
0.000 3.232 0.000
-2.142 0.000 9.887
ATOMIC_POSITIONS crystal
Te 0.000 0.000 0.000
Te 0.500 0.500 0.000
W 0.322 0.500 0.405
W 0.417 0.000 0.220
W 0.822 0.000 0.405
W 0.917 0.500 0.220
Cl 0.059 0.500 0.590
Cl 0.559 0.000 0.590
! - Space group: Cm
! - Formation energy from raw total energies: 0.09 eV/atom

Entry 7:
! GGA-PBE PuCdAu2O6, relaxed; values from VASP
&SYSTEM
  ibrav = 0, nat = 20, ntyp = 4
/
ATOMIC_SPECIES
Pu 244.00 Pu.upf
Cd 112.41 Cd.upf
Au 196.97 Au.upf
O 16.00 O.upf
CELL_PARAMETERS angstrom
6.166 -5.022 0.000
6.166 5.022 0.000
-1.433 0.000 5.528
ATOMIC_POSITIONS crystal
Pu 0.232 0.768 0.750
Pu 0.768 0.232 0.250
Cd 0.408 0.592 0.250
Cd 0.592 0.408 0.750
Au 0.245 0.253 0.765
Au 0.253 0.245 0.265
Au 0.747 0.755 0.735
Au 0.755 0.747 0.235
O 0.011 0.206 0.171
O 0.154 0.676 0.434
O 0.206 0.011 0.671
O 0.307 0.495 0.856
O 0.324 0.846 0.066
O 0.495 0.307 0.356
O 0.505 0.693 0.644
O 0.676 0.154 0.934
O 0.693 0.505 0.144
O 0.794 0.989 0.329
O 0.846 0.324 0.566
O 0.989 0.794 0.829
! - Space group: C2/c
! - Formation energy from raw total energies: -1.13 eV/atom

Entry 8:
! GGA-PBE Pm5Si2Sn2, relaxed; values from VASP
&SYSTEM
  ibrav = 0, nat = 18, ntyp = 3
/
ATOMIC_SPECIES
Pm 145.00 Pm.upf
Si 28.09 Si.upf
Sn 118.71 Sn.upf
CELL_PARAMETERS angstrom
-8.552 4.646 3.232
8.552 -4.646 3.232
8.552 4.646 -3.232
ATOMIC_POSITIONS crystal
Pm 0.108 0.382 0.024
Pm 0.108 0.583 0.226
Pm 0.220 0.066 0.286
Pm 0.220 0.434 0.654
Pm 0.357 0.083 0.976
Pm 0.357 0.882 0.774
Pm 0.666 0.477 0.690
Pm 0.780 0.566 0.346
Pm 0.780 0.934 0.714
Pm 0.787 0.977 0.310
Si 0.081 0.960 0.621
Si 0.295 0.295 0.000
Si 0.295 0.795 0.500
Si 0.340 0.460 0.379
Sn 0.638 0.125 0.356
Sn 0.638 0.782 0.013
Sn 0.769 0.282 0.644
Sn 0.769 0.625 0.987
! - Space group: Ima2
! - Formation energy from raw total energies: -0.58 eV/atom

Computed values of ρ (unit: g/cm³) for the preceding records, in sequence: 6.169; 3.615; 7.713; 6.892; 5.424; 9.855; 8.209; 6.586.